[1]
! PBE-GGA MgSnIr2, relaxed; values from VASP
&SYSTEM
  ibrav = 0, nat = 8, ntyp = 3
/
ATOMIC_SPECIES
Mg 24.30 Mg.upf
Ir 192.22 Ir.upf
Sn 118.71 Sn.upf
CELL_PARAMETERS angstrom
2.244 -3.887 0.000
2.244 3.887 0.000
0.000 0.000 8.115
ATOMIC_POSITIONS crystal
Mg 0.000 0.000 0.500
Mg 0.000 0.000 0.000
Ir 0.333 0.667 0.907
Ir 0.667 0.333 0.407
Ir 0.333 0.667 0.593
Ir 0.667 0.333 0.093
Sn 0.667 0.333 0.750
Sn 0.333 0.667 0.250
! DFT total energy = -5.94 eV/atom
! Space group = P6_3/mmc (194)
! Density = 12.374 g cm⁻³

[2]
! PBE-GGA ErTm2Ga4Pt, relaxed; values from VASP
&SYSTEM
  ibrav = 0, nat = 8, ntyp = 4
/
ATOMIC_SPECIES
Er 167.26 Er.upf
Ga 69.72 Ga.upf
Tm 168.93 Tm.upf
Pt 195.08 Pt.upf
CELL_PARAMETERS angstrom
6.412 0.000 0.000
0.000 1.948 6.649
0.000 -1.948 6.649
ATOMIC_POSITIONS crystal
Er 0.000 0.040 0.040
Ga 0.763 0.404 0.404
Ga 0.693 0.595 0.595
Ga 0.307 0.595 0.595
Ga 0.237 0.404 0.404
Tm 0.000 0.769 0.769
Tm 0.500 0.231 0.231
Pt 0.500 0.963 0.963
! DFT total energy = -4.55 eV/atom
! Space group = Amm2 (38)
! Density = 9.788 g cm⁻³

[3]
! PBE-GGA CuReBMo, relaxed; values from VASP
&SYSTEM
  ibrav = 0, nat = 4, ntyp = 4
/
ATOMIC_SPECIES
Mo 95.94 Mo.upf
Re 186.21 Re.upf
Cu 63.55 Cu.upf
B 10.81 B.upf
CELL_PARAMETERS angstrom
0.000 2.945 2.945
2.945 0.000 2.945
2.945 2.945 0.000
ATOMIC_POSITIONS crystal
Mo 0.500 0.500 0.500
Re 0.250 0.250 0.250
Cu 0.750 0.750 0.750
B 0.000 0.000 0.000
! DFT total energy = -7.74 eV/atom
! Space group = F-43m (216)
! Density = 11.591 g cm⁻³

[4]
! PBE-GGA Lu2BiN, relaxed; values from VASP
&SYSTEM
  ibrav = 0, nat = 8, ntyp = 3
/
ATOMIC_SPECIES
Bi 208.98 Bi.upf
Lu 174.97 Lu.upf
N 14.01 N.upf
CELL_PARAMETERS angstrom
-1.263 3.112 1.001
-0.551 -2.835 1.985
12.665 2.748 7.441
ATOMIC_POSITIONS crystal
Bi 0.333 0.667 0.750
Bi 0.667 0.333 0.250
Lu 0.333 0.667 0.083
Lu 0.333 0.667 0.417
Lu 0.667 0.333 0.917
Lu 0.667 0.333 0.583
N 0.000 0.000 0.500
N 0.000 0.000 0.000
! DFT total energy = -6.46 eV/atom
! Space group = P6_3/mmc (194)
! Density = 11.971 g cm⁻³

[5]
! PBE-GGA YPuHg, relaxed; values from VASP
&SYSTEM
  ibrav = 0, nat = 3, ntyp = 3
/
ATOMIC_SPECIES
Pu 244.00 Pu.upf
Y 88.91 Y.upf
Hg 200.59 Hg.upf
CELL_PARAMETERS angstrom
-0.889 -3.578 3.587
-0.176 1.326 4.967
-4.484 -0.057 2.519
ATOMIC_POSITIONS crystal
Pu 0.250 0.250 0.250
Y 0.750 0.750 0.750
Hg 0.000 0.000 0.000
! DFT formation energy = 0.096 eV/atom
! Space group = F-43m (216)
! Density = 9.206 g cm⁻³

[6]
! PBE-GGA HoZrSi2, relaxed; values from VASP
&SYSTEM
  ibrav = 0, nat = 8, ntyp = 3
/
ATOMIC_SPECIES
Si 28.09 Si.upf
Ho 164.93 Ho.upf
Zr 91.22 Zr.upf
CELL_PARAMETERS angstrom
3.784 0.000 0.000
0.000 5.507 0.000
0.000 0.000 7.440
ATOMIC_POSITIONS crystal
Si 0.000 0.610 0.540
Si 0.500 0.877 0.462
Si 0.500 0.123 0.962
Si 0.000 0.390 0.040
Ho 0.000 0.129 0.678
Ho 0.000 0.871 0.178
Zr 0.500 0.627 0.820
Zr 0.500 0.373 0.320
! DFT total energy = -6.83 eV/atom
! Space group = Pmc2_1 (26)
! Density = 6.690 g cm⁻³

[7]
! PBE-GGA SiHgIr, relaxed; values from VASP
&SYSTEM
  ibrav = 0, nat = 3, ntyp = 3
/
ATOMIC_SPECIES
Si 28.09 Si.upf
Hg 200.59 Hg.upf
Ir 192.22 Ir.upf
CELL_PARAMETERS angstrom
0.005 0.643 4.167
1.872 3.421 1.603
-2.331 3.097 1.658
ATOMIC_POSITIONS crystal
Si 0.000 0.000 0.000
Hg 0.250 0.250 0.250
Ir 0.750 0.750 0.750
! DFT total energy = -4.61 eV/atom
! Space group = F-43m (216)
! Density = 13.190 g cm⁻³

[8]
! PBE-GGA BaZnSbF, relaxed; values from VASP
&SYSTEM
  ibrav = 0, nat = 8, ntyp = 4
/
ATOMIC_SPECIES
Zn 65.41 Zn.upf
Ba 137.33 Ba.upf
Sb 121.76 Sb.upf
F 19.00 F.upf
CELL_PARAMETERS angstrom
-3.972 -0.384 -1.988
2.024 -0.865 -3.877
-0.113 -9.444 2.048
ATOMIC_POSITIONS crystal
Zn 0.000 0.000 0.000
Zn 0.500 0.500 0.000
Ba 0.000 0.500 0.348
Ba 0.500 0.000 0.652
Sb 0.000 0.500 0.832
Sb 0.500 0.000 0.168
F 0.000 0.000 0.500
F 0.500 0.500 0.500
! DFT total energy = -4.08 eV/atom
! Space group = P4/nmm (129)
! Density = 5.938 g cm⁻³